(1)
Below is a relaxed ScTc2Os crystal, with properties calculated at the PBE level.

It has space group F-43m (No. 216), with a = 6.265 Å, b = 6.265 Å, c = 6.265 Å, α = 90.00°, β = 90.00° and γ = 90.00°. Symmetry generates all atoms from Sc at (0.000, 0.000, 0.000), Tc at (0.000, 0.000, 0.500), Tc at (0.250, 0.250, 0.250) and Os at (0.250, 0.250, 0.750).

The calculated volume is 15.4 Å³/atom. Its energy is -38.5 eV per formula unit. The formation energy is -0.0489 eV/atom.

(2)
Below is a relaxed Mg2HgPd crystal, with properties calculated at the PBE level.

It has space group Pmm2 (No. 25), with a = 3.375 Å, b = 4.638 Å, c = 4.638 Å, α = 90.00°, β = 90.00° and γ = 90.00°. Symmetry generates all atoms from Mg at (0.000, 0.000, 0.000), Mg at (0.000, 0.500, 0.496), Hg at (0.500, 0.500, 0.995) and Pd at (0.500, 0.000, 0.500).

The calculated volume is 18.1 Å³/atom. Its energy is -10.4 eV per formula unit.

(3)
Below is a relaxed SmTmPO crystal, with properties calculated at the PBE level.

It has space group P4/nmm (No. 129, origin choice 2), with a = 4.297 Å, b = 4.297 Å, c = 8.624 Å, α = 90.00°, β = 90.00° and γ = 90.00°. Symmetry generates all atoms from Sm at (0.250, 0.750, 0.000), Tm at (0.250, 0.250, 0.406), P at (0.250, 0.250, 0.791) and O at (0.250, 0.750, 0.500).

The calculated volume is 19.9 Å³/atom. Its energy is -26.8 eV per formula unit. Its energy above the lowest structure with this stoichiometry is 1.10 eV/f.u.

(4)
Below is a relaxed Tb2ErSn3PdPt2 crystal, with properties calculated at the PBE level.

It has space group Amm2 (No. 38), with a = 4.015 Å, b = 13.017 Å, c = 7.553 Å, α = 90.00°, β = 90.00° and γ = 90.00°. Symmetry generates all atoms from Tb at (0.000, 0.204, 0.000), Er at (0.000, 0.000, 0.388), Sn at (0.500, 0.000, 0.054), Sn at (0.500, 0.128, 0.666), Pd at (0.000, 0.000, 0.794) and Pt at (0.500, 0.165, 0.296).

The calculated volume is 21.9 Å³/atom. Its energy is -52.6 eV per formula unit.

(5)
Below is a relaxed Er2Lu5Te2Ir2 crystal, with properties calculated at the PBE level.

It has space group Imm2 (No. 44), with a = 3.887 Å, b = 15.461 Å, c = 9.359 Å, α = 90.00°, β = 90.00° and γ = 90.00°. Symmetry generates all atoms from Er at (0.000, 0.185, 0.000), Lu at (0.000, 0.146, 0.359), Lu at (0.000, 0.368, 0.211), Lu at (0.000, 0.500, 0.630), Te at (0.000, 0.000, 0.864), Te at (0.000, 0.500, 0.967) and Ir at (0.000, 0.262, 0.701).

The calculated volume is 25.6 Å³/atom. Its energy is -65.8 eV per formula unit. Its energy above the lowest structure with this stoichiometry is 0.16 eV/f.u.

(6)
Below is a relaxed Ga5Ir crystal, with properties calculated at the PBE level.

It has space group I-42d (No. 122), with a = 12.090 Å, b = 12.090 Å, c = 5.956 Å, α = 90.00°, β = 90.00° and γ = 90.00°. Symmetry generates all atoms from Ga at (0.023, 0.158, 0.497), Ga at (0.076, 0.630, 0.161), Ga at (0.186, 0.750, 0.625) and Ir at (0.096, 0.250, 0.125).

The calculated volume is 18.1 Å³/atom. Its energy is -25.5 eV per formula unit.